# 1
# LiNiRh3, PBEsol geometry, DFT meta-GGA SCAN
data_LiNiRh3
_chemical_formula_sum 'Li1 Ni1 Rh3'
_cell_length_a 4.429
_cell_length_b 4.429
_cell_length_c 4.429
_cell_angle_alpha 90.00
_cell_angle_beta 90.00
_cell_angle_gamma 90.00
_symmetry_space_group_name_H-M 'P 1'
_symmetry_Int_Tables_number 1
loop_
_symmetry_equiv_pos_as_xyz
'x,y,z'
loop_
_atom_site_label
_atom_site_fract_x
_atom_site_fract_y
_atom_site_fract_z
Li1 0.000 0.000 0.000
Ni1 0.500 0.500 0.500
Rh1 0.000 0.500 0.500
Rh2 0.500 0.000 0.500
Rh3 0.500 0.500 0.000
# Space-group type: Pm-3m (221)
# Formation energy: 0.929 eV/atom
# Final energy: -1.69388 Ry/atom



# 2
# LiNiRh, PBEsol geometry, DFT meta-GGA SCAN
data_LiNiRh
_chemical_formula_sum 'Li1 Ni1 Rh1'
_cell_length_a 3.883
_cell_length_b 3.883
_cell_length_c 3.883
_cell_angle_alpha 60.00
_cell_angle_beta 60.00
_cell_angle_gamma 60.00
_symmetry_space_group_name_H-M 'P 1'
_symmetry_Int_Tables_number 1
loop_
_symmetry_equiv_pos_as_xyz
'x,y,z'
loop_
_atom_site_label
_atom_site_fract_x
_atom_site_fract_y
_atom_site_fract_z
Li1 0.000 0.000 0.000
Ni1 0.750 0.750 0.750
Rh1 0.500 0.500 0.500
# Space-group type: F-43m (216)
# Polymorph energy (0 for the lowest one): 207 meV/atom
# Formation energy: 0.301 eV/atom
# Final energy: -1.26005 Ry/atom



# 3
# Li2NiRh, PBEsol geometry, DFT meta-GGA SCAN
data_Li2NiRh
_chemical_formula_sum 'Li2 Ni1 Rh1'
_cell_length_a 2.607
_cell_length_b 4.241
_cell_length_c 4.327
_cell_angle_alpha 90.00
_cell_angle_beta 90.00
_cell_angle_gamma 90.00
_symmetry_space_group_name_H-M 'P 1'
_symmetry_Int_Tables_number 1
loop_
_symmetry_equiv_pos_as_xyz
'x,y,z'
loop_
_atom_site_label
_atom_site_fract_x
_atom_site_fract_y
_atom_site_fract_z
Li1 0.000 0.000 0.000
Li2 0.500 0.500 0.089
Ni1 0.500 0.000 0.508
Rh1 0.000 0.500 0.582
# Space-group type: Pmm2 (25)
# Polymorph energy (0 for the lowest one): 16 meV/atom
# Formation energy: -0.117 eV/atom
# Final energy: -1.01416 Ry/atom



# 4
# Li2NiRh, PBEsol geometry, DFT meta-GGA SCAN
data_Li2NiRh
_chemical_formula_sum 'Li2 Ni1 Rh1'
_cell_length_a 2.540
_cell_length_b 2.540
_cell_length_c 8.486
_cell_angle_alpha 90.00
_cell_angle_beta 90.00
_cell_angle_gamma 117.53
_symmetry_space_group_name_H-M 'P 1'
_symmetry_Int_Tables_number 1
loop_
_symmetry_equiv_pos_as_xyz
'x,y,z'
loop_
_atom_site_label
_atom_site_fract_x
_atom_site_fract_y
_atom_site_fract_z
Li1 0.000 0.000 0.245
Li2 0.000 0.000 0.755
Ni1 0.500 0.500 0.000
Rh1 0.500 0.500 0.500
# Space-group type: Cmmm (65)
# Polymorph energy (0 for the lowest one): 78 meV/atom
# Formation energy: -0.055 eV/atom
# Final energy: -1.00958 Ry/atom



# 5
# Li2NiRh, PBEsol geometry, DFT meta-GGA SCAN
data_Li2NiRh
_chemical_formula_sum 'Li2 Ni1 Rh1'
_cell_length_a 4.069
_cell_length_b 4.069
_cell_length_c 4.069
_cell_angle_alpha 60.00
_cell_angle_beta 60.00
_cell_angle_gamma 60.00
_symmetry_space_group_name_H-M 'P 1'
_symmetry_Int_Tables_number 1
loop_
_symmetry_equiv_pos_as_xyz
'x,y,z'
loop_
_atom_site_label
_atom_site_fract_x
_atom_site_fract_y
_atom_site_fract_z
Li1 0.000 0.000 0.000
Li2 0.250 0.250 0.250
Ni1 0.750 0.750 0.750
Rh1 0.500 0.500 0.500
# Space-group type: F-43m (216)
# Polymorph energy (0 for the lowest one): 89 meV/atom
# Formation energy: -0.044 eV/atom
# Final energy: -1.00877 Ry/atom



# 6
# Li2NiRh, PBEsol geometry, DFT meta-GGA SCAN
data_Li2NiRh
_chemical_formula_sum 'Li2 Ni1 Rh1'
_cell_length_a 2.626
_cell_length_b 4.248
_cell_length_c 4.271
_cell_angle_alpha 90.00
_cell_angle_beta 90.00
_cell_angle_gamma 90.00
_symmetry_space_group_name_H-M 'P 1'
_symmetry_Int_Tables_number 1
loop_
_symmetry_equiv_pos_as_xyz
'x,y,z'
loop_
_atom_site_label
_atom_site_fract_x
_atom_site_fract_y
_atom_site_fract_z
Li1 0.000 0.000 0.000
Li2 0.500 0.000 0.500
Ni1 0.000 0.500 0.500
Rh1 0.500 0.500 0.000
# Space-group type: Pmmm (47)
# Polymorph energy (0 for the lowest one): 17 meV/atom
# Formation energy: -0.116 eV/atom
# Final energy: -1.01405 Ry/atom



# 7
# Li2NiRh, PBEsol geometry, DFT meta-GGA SCAN
data_Li2NiRh
_chemical_formula_sum 'Li2 Ni1 Rh1'
_cell_length_a 4.930
_cell_length_b 4.930
_cell_length_c 4.930
_cell_angle_alpha 149.24
_cell_angle_beta 128.55
_cell_angle_gamma 61.16
_symmetry_space_group_name_H-M 'P 1'
_symmetry_Int_Tables_number 1
loop_
_symmetry_equiv_pos_as_xyz
'x,y,z'
loop_
_atom_site_label
_atom_site_fract_x
_atom_site_fract_y
_atom_site_fract_z
Li1 0.241 0.241 0.000
Li2 0.759 0.759 0.000
Ni1 0.000 0.500 0.500
Rh1 0.500 0.000 0.500
# Space-group type: Immm (71)
# Polymorph energy (0 for the lowest one): 10 meV/atom
# Formation energy: -0.123 eV/atom
# Final energy: -1.01457 Ry/atom



# 8
# Li2NiRh, PBEsol geometry, DFT meta-GGA SCAN
data_Li2NiRh
_chemical_formula_sum 'Li2 Ni1 Rh1'
_cell_length_a 4.791
_cell_length_b 4.791
_cell_length_c 4.607
_cell_angle_alpha 115.20
_cell_angle_beta 115.20
_cell_angle_gamma 30.52
_symmetry_space_group_name_H-M 'P 1'
_symmetry_Int_Tables_number 1
loop_
_symmetry_equiv_pos_as_xyz
'x,y,z'
loop_
_atom_site_label
_atom_site_fract_x
_atom_site_fract_y
_atom_site_fract_z
Li1 0.000 0.000 0.000
Li2 0.238 0.238 0.922
Ni1 0.493 0.493 0.478
Rh1 0.757 0.757 0.443
# Space-group type: Cm (8)
# Polymorph energy (0 for the lowest one): 36 meV/atom
# Formation energy: -0.097 eV/atom
# Final energy: -1.01269 Ry/atom



# 9
# Li2NiRh, PBEsol geometry, DFT meta-GGA SCAN
data_Li2NiRh
_chemical_formula_sum 'Li2 Ni1 Rh1'
_cell_length_a 2.511
_cell_length_b 4.257
_cell_length_c 4.467
_cell_angle_alpha 90.00
_cell_angle_beta 92.46
_cell_angle_gamma 90.00
_symmetry_space_group_name_H-M 'P 1'
_symmetry_Int_Tables_number 1
loop_
_symmetry_equiv_pos_as_xyz
'x,y,z'
loop_
_atom_site_label
_atom_site_fract_x
_atom_site_fract_y
_atom_site_fract_z
Li1 0.219 0.000 0.249
Li2 0.781 0.000 0.751
Ni1 0.000 0.500 0.500
Rh1 0.500 0.500 0.000
# Space-group type: P2/m (10)
# Polymorph energy (0 for the lowest one): 17 meV/atom
# Formation energy: -0.116 eV/atom
# Final energy: -1.01406 Ry/atom



# 10
# LiNiRh, PBEsol geometry, DFT meta-GGA SCAN
data_LiNiRh
_chemical_formula_sum 'Li1 Ni1 Rh1'
_cell_length_a 6.797
_cell_length_b 6.573
_cell_length_c 2.551
_cell_angle_alpha 84.00
_cell_angle_beta 74.09
_cell_angle_gamma 21.92
_symmetry_space_group_name_H-M 'P 1'
_symmetry_Int_Tables_number 1
loop_
_symmetry_equiv_pos_as_xyz
'x,y,z'
loop_
_atom_site_label
_atom_site_fract_x
_atom_site_fract_y
_atom_site_fract_z
Li1 0.000 0.000 0.000
Ni1 0.336 0.336 0.664
Rh1 0.671 0.671 0.329
# Space-group type: Fmm2 (42)
# Polymorph energy (0 for the lowest one): 0 meV/atom
# Formation energy: 0.094 eV/atom
# Final energy: -1.27525 Ry/atom



# 11
# Li2NiRh, PBEsol geometry, DFT meta-GGA SCAN
data_Li2NiRh
_chemical_formula_sum 'Li2 Ni1 Rh1'
_cell_length_a 4.509
_cell_length_b 4.509
_cell_length_c 4.394
_cell_angle_alpha 100.99
_cell_angle_beta 100.99
_cell_angle_gamma 32.89
_symmetry_space_group_name_H-M 'P 1'
_symmetry_Int_Tables_number 1
loop_
_symmetry_equiv_pos_as_xyz
'x,y,z'
loop_
_atom_site_label
_atom_site_fract_x
_atom_site_fract_y
_atom_site_fract_z
Li1 0.245 0.245 0.248
Li2 0.755 0.755 0.752
Ni1 0.500 0.500 0.000
Rh1 0.000 0.000 0.500
# Space-group type: C2/m (12)
# Polymorph energy (0 for the lowest one): 0 meV/atom
# Formation energy: -0.133 eV/atom
# Final energy: -1.01533 Ry/atom



# 12
# LiNiRu2, PBEsol geometry, DFT meta-GGA SCAN
data_LiNiRu2
_chemical_formula_sum 'Li1 Ni1 Ru2'
_cell_length_a 4.046
_cell_length_b 4.046
_cell_length_c 4.046
_cell_angle_alpha 60.00
_cell_angle_beta 60.00
_cell_angle_gamma 60.00
_symmetry_space_group_name_H-M 'P 1'
_symmetry_Int_Tables_number 1
loop_
_symmetry_equiv_pos_as_xyz
'x,y,z'
loop_
_atom_site_label
_atom_site_fract_x
_atom_site_fract_y
_atom_site_fract_z
Li1 0.000 0.000 0.000
Ni1 0.500 0.500 0.500
Ru1 0.250 0.250 0.250
Ru2 0.750 0.750 0.750
# Space-group type: Fm-3m (225)
# Polymorph energy (0 for the lowest one): 129 meV/atom
# Formation energy: 0.351 eV/atom
# Final energy: -1.59514 Ry/atom



# 13
# LiNiRu2, PBEsol geometry, DFT meta-GGA SCAN
data_LiNiRu2
_chemical_formula_sum 'Li1 Ni1 Ru2'
_cell_length_a 8.791
_cell_length_b 8.791
_cell_length_c 8.791
_cell_angle_alpha 17.01
_cell_angle_beta 17.01
_cell_angle_gamma 17.01
_symmetry_space_group_name_H-M 'P 1'
_symmetry_Int_Tables_number 1
loop_
_symmetry_equiv_pos_as_xyz
'x,y,z'
loop_
_atom_site_label
_atom_site_fract_x
_atom_site_fract_y
_atom_site_fract_z
Li1 0.000 0.000 0.000
Ni1 0.500 0.500 0.500
Ru1 0.245 0.245 0.245
Ru2 0.755 0.755 0.755
# Space-group type: R-3m (166)
# Polymorph energy (0 for the lowest one): 0 meV/atom
# Formation energy: 0.222 eV/atom
# Final energy: -1.60459 Ry/atom